w | # ZrVAs2 PBE-GGA relaxed
data_ZrVAs2
_symmetry_space_group_name_H-M 'P 1'
_symmetry_Int_Tables_number 1
_cell_length_a 7.330
_cell_length_b 7.330
_cell_length_c 7.330
_cell_angle_alpha 133.37
_cell_angle_beta 133.37
_cell_angle_gamma 68.07
loop_
_symmetry_equiv_pos_as_xyz
'x,y,z'
loop_
_atom_site_label
_atom_site_type_symbol
_atom_site_fract_x
_atom_site_fract_y
_atom_site_fract_z
_atom_site_occupancy
Zr1 Zr 0.000 0.000 0.000 1
Zr2 Zr 0.750 0.250 0.500 1
V1 V 0.250 0.750 0.500 1
V2 V 0.500 0.500 0.000 1
As1 As 0.150 0.625 0.025 1
As2 As 0.375 0.400 0.525 1
As3 As 0.600 0.125 0.975 1
As4 As 0.875 0.850 0.475 1
# M_tot = 5.131 μB/cell
# Fermi-level density of states = 3.43 states/eV/f.u.


x | # ZrVAs2 PBE-GGA relaxed
data_ZrVAs2
_symmetry_space_group_name_H-M 'P 1'
_symmetry_Int_Tables_number 1
_cell_length_a 6.249
_cell_length_b 6.249
_cell_length_c 6.249
_cell_angle_alpha 35.86
_cell_angle_beta 35.86
_cell_angle_gamma 35.86
loop_
_symmetry_equiv_pos_as_xyz
'x,y,z'
loop_
_atom_site_label
_atom_site_type_symbol
_atom_site_fract_x
_atom_site_fract_y
_atom_site_fract_z
_atom_site_occupancy
Zr1 Zr 0.000 0.000 0.000 1
V1 V 0.500 0.500 0.500 1
As1 As 0.242 0.242 0.242 1
As2 As 0.758 0.758 0.758 1
# M_tot = 2.107 μB/cell
# Fermi-level density of states = 4.23 states/eV/f.u.


y | # ZrVAs2 PBE-GGA relaxed
data_ZrVAs2
_symmetry_space_group_name_H-M 'P 1'
_symmetry_Int_Tables_number 1
_cell_length_a 4.577
_cell_length_b 4.577
_cell_length_c 4.577
_cell_angle_alpha 60.00
_cell_angle_beta 60.00
_cell_angle_gamma 60.00
loop_
_symmetry_equiv_pos_as_xyz
'x,y,z'
loop_
_atom_site_label
_atom_site_type_symbol
_atom_site_fract_x
_atom_site_fract_y
_atom_site_fract_z
_atom_site_occupancy
Zr1 Zr 0.000 0.000 0.000 1
V1 V 0.500 0.500 0.500 1
As1 As 0.250 0.250 0.250 1
As2 As 0.750 0.750 0.750 1
# M_tot = 0.374 μB/cell
# Fermi-level density of states = 2.91 states/eV/f.u.


In terms of stability, x leads; the second structure lies 184 meV/atom higher.